Record 1
# SiTc2Rh | Alexandria | PBE | optimized geometry
data_SiTc2Rh
_space_group_name_H-M_alt 'R -3 m'
_space_group_IT_number 166
_space_group_name_Hall '-R 3 2"'
_cell_length_a 2.7614
_cell_length_b 2.7614
_cell_length_c 25.3846
_cell_angle_alpha 90.00
_cell_angle_beta 90.00
_cell_angle_gamma 120.00
loop_
_atom_site_label
_atom_site_type_symbol
_atom_site_fract_x
_atom_site_fract_y
_atom_site_fract_z
Si1 Si 0.0000 0.0000 0.0000
Tc1 Tc 0.0000 0.0000 0.2537
Rh1 Rh 0.0000 0.0000 0.5000
# - Crystal system: trigonal
# - Density of states at the Fermi level: 10.98 states/eV/cell
# - E_form (uncorrected): -0.119 eV/atom

Record 2
# Si2TcRh | Alexandria | PBE | optimized geometry
data_Si2TcRh
_space_group_name_H-M_alt 'C 1 2/m 1'
_space_group_IT_number 12
_space_group_name_Hall '-C 2y'
_cell_length_a 7.8993
_cell_length_b 2.8278
_cell_length_c 5.0141
_cell_angle_alpha 90.00
_cell_angle_beta 103.21
_cell_angle_gamma 90.00
loop_
_atom_site_label
_atom_site_type_symbol
_atom_site_fract_x
_atom_site_fract_y
_atom_site_fract_z
Si1 Si 0.2498 0.0000 0.2438
Tc1 Tc 0.0000 0.5000 0.0000
Rh1 Rh 0.0000 0.0000 0.5000
# - Crystal system: monoclinic
# - Density of states at the Fermi level: 6.62 states/eV/cell
# - E_form (uncorrected): -0.395 eV/atom

Record 3
# SiTc4Rh | Alexandria | PBE | optimized geometry
data_SiTc4Rh
_space_group_name_H-M_alt 'F -4 3 m'
_space_group_IT_number 216
_space_group_name_Hall 'F -4 2 3'
_cell_length_a 7.1608
_cell_length_b 7.1608
_cell_length_c 7.1608
_cell_angle_alpha 90.00
_cell_angle_beta 90.00
_cell_angle_gamma 90.00
loop_
_atom_site_label
_atom_site_type_symbol
_atom_site_fract_x
_atom_site_fract_y
_atom_site_fract_z
Si1 Si 0.0000 0.0000 0.0000
Tc1 Tc 0.1246 0.1246 0.6246
Rh1 Rh 0.2500 0.2500 0.2500
# - Crystal system: cubic
# - Density of states at the Fermi level: 33.43 states/eV/cell
# - E_form (uncorrected): 0.472 eV/atom

Record 4
# Si2TcRh | Alexandria | PBE | optimized geometry
data_Si2TcRh
_space_group_name_H-M_alt 'C m m m'
_space_group_IT_number 65
_space_group_name_Hall '-C 2 2'
_cell_length_a 3.0597
_cell_length_b 4.7954
_cell_length_c 7.5893
_cell_angle_alpha 90.00
_cell_angle_beta 90.00
_cell_angle_gamma 90.00
loop_
_atom_site_label
_atom_site_type_symbol
_atom_site_fract_x
_atom_site_fract_y
_atom_site_fract_z
Si1 Si 0.0000 0.0000 0.2477
Tc1 Tc 0.0000 0.5000 0.5000
Rh1 Rh 0.0000 0.5000 0.0000
# - Crystal system: orthorhombic
# - Density of states at the Fermi level: 4.78 states/eV/cell
# - E_form (uncorrected): -0.278 eV/atom

Record 5
# SiTc2Rh | Alexandria | PBE | optimized geometry
data_SiTc2Rh
_space_group_name_H-M_alt 'C m m m'
_space_group_IT_number 65
_space_group_name_Hall '-C 2 2'
_cell_length_a 5.0293
_cell_length_b 8.0058
_cell_length_c 2.7925
_cell_angle_alpha 90.00
_cell_angle_beta 90.00
_cell_angle_gamma 90.00
loop_
_atom_site_label
_atom_site_type_symbol
_atom_site_fract_x
_atom_site_fract_y
_atom_site_fract_z
Si1 Si 0.0000 0.0000 0.0000
Tc1 Tc 0.2500 0.2500 0.5000
Rh1 Rh 0.0000 0.5000 0.0000
# - Crystal system: orthorhombic
# - Density of states at the Fermi level: 10.24 states/eV/cell
# - E_form (uncorrected): -0.107 eV/atom

Record 6
# SiTc2Rh | Alexandria | PBE | optimized geometry
data_SiTc2Rh
_space_group_name_H-M_alt 'I m m m'
_space_group_IT_number 71
_space_group_name_Hall '-I 2 2'
_cell_length_a 2.8866
_cell_length_b 4.3469
_cell_length_c 8.8903
_cell_angle_alpha 90.00
_cell_angle_beta 90.00
_cell_angle_gamma 90.00
loop_
_atom_site_label
_atom_site_type_symbol
_atom_site_fract_x
_atom_site_fract_y
_atom_site_fract_z
Si1 Si 0.0000 0.0000 0.0000
Tc1 Tc 0.0000 0.5000 0.2788
Rh1 Rh 0.0000 0.0000 0.5000
# - Crystal system: orthorhombic
# - Density of states at the Fermi level: 8.51 states/eV/cell
# - E_form (uncorrected): -0.256 eV/atom

Record 7
# SiTcRh2 | Alexandria | PBE | optimized geometry
data_SiTcRh2
_space_group_name_H-M_alt 'P m m 2'
_space_group_IT_number 25
_space_group_name_Hall 'P 2 -2'
_cell_length_a 2.7765
_cell_length_b 3.5782
_cell_length_c 5.6055
_cell_angle_alpha 90.00
_cell_angle_beta 90.00
_cell_angle_gamma 90.00
loop_
_atom_site_label
_atom_site_type_symbol
_atom_site_fract_x
_atom_site_fract_y
_atom_site_fract_z
Si1 Si 0.0000 0.0000 0.0000
Tc1 Tc 0.5000 0.5000 0.2847
Rh1 Rh 0.0000 0.0000 0.5078
Rh2 Rh 0.5000 0.5000 0.8053
# - Crystal system: orthorhombic
# - Density of states at the Fermi level: 2.99 states/eV/cell
# - E_form (uncorrected): -0.236 eV/atom

Record 8
# Si2TcRh | Alexandria | PBE | optimized geometry
data_Si2TcRh
_space_group_name_H-M_alt 'R 3 m'
_space_group_IT_number 160
_space_group_name_Hall 'R 3 -2"'
_cell_length_a 2.8816
_cell_length_b 2.8816
_cell_length_c 23.4735
_cell_angle_alpha 90.00
_cell_angle_beta 90.00
_cell_angle_gamma 120.00
loop_
_atom_site_label
_atom_site_type_symbol
_atom_site_fract_x
_atom_site_fract_y
_atom_site_fract_z
Si1 Si 0.0000 0.0000 0.0000
Si2 Si 0.0000 0.0000 0.2480
Tc1 Tc 0.0000 0.0000 0.5048
Rh1 Rh 0.0000 0.0000 0.7407
# - Crystal system: trigonal
# - Density of states at the Fermi level: 2.74 states/eV/cell
# - E_form (uncorrected): -0.177 eV/atom